(1)
12
Lattice="5.291 -0.031 1.768 0.042 7.907 0.014 0.005 -0.016 8.825" Properties=species:S:1:pos:R:3 comment="AcPr5Mg6 PBE-GGA relaxed" magmom_total_mub_per_cell=0.000 total_energy_ev_per_atom=-3.2373 e_form_ev_per_fu=-1.3 pbc="T T T"
Mg 4.429 5.856 4.478
Mg 4.408 1.989 4.471
Mg 2.657 2.040 0.888
Mg 2.682 5.820 9.719
Mg 0.910 2.004 6.129
Mg 0.931 5.872 6.136
Pr 1.797 3.938 3.517
Pr 1.811 7.892 3.544
Pr 0.021 3.954 0.007
Pr 3.542 3.922 7.090
Pr 3.528 -0.031 7.063
Ac 0.000 0.000 0.000



(2)
20
Lattice="4.528 0.000 0.000 0.000 8.366 0.000 0.000 0.000 15.256" Properties=species:S:1:pos:R:3 comment="Sm3IrPb PBE-GGA relaxed" magmom_total_mub_per_cell=0.000 total_energy_ev_per_atom=-5.9798 e_form_ev_per_fu=-3.2 pbc="T T T"
Sm 3.396 1.741 0.076
Sm 3.396 6.491 3.115
Sm 3.396 0.426 9.685
Sm 1.132 6.058 10.743
Sm 1.132 7.940 5.571
Sm 1.132 3.757 2.057
Sm 1.132 1.875 12.142
Sm 3.396 4.609 13.199
Sm 3.396 5.924 7.552
Sm 1.132 6.625 15.180
Sm 1.132 2.442 7.704
Sm 3.396 2.308 4.513
Ir 3.396 4.927 0.824
Ir 1.132 7.623 8.452
Ir 1.132 3.439 14.432
Ir 3.396 0.744 6.804
Pb 1.132 4.684 5.210
Pb 3.396 3.682 10.047
Pb 3.396 7.865 12.838
Pb 1.132 0.501 2.419



(3)
4
Lattice="-0.528 -0.092 4.489 2.523 -4.575 -1.940 2.564 0.515 0.578" Properties=species:S:1:pos:R:3 comment="Li2TaFe PBE-GGA relaxed" magmom_total_mub_per_cell=1.509 total_energy_ev_per_atom=-5.6975 e_form_ev_per_fu=1.4 pbc="T T T"
Li 0.000 0.000 0.000
Li 1.018 0.212 2.534
Fe 0.998 -2.333 1.274
Ta 2.544 -2.030 -0.681



(4)
19
Lattice="9.341 0.000 0.000 -4.671 7.601 1.192 0.000 -1.712 8.343" Properties=species:S:1:pos:R:3 comment="Sm12Tm5Tl2 PBE-GGA relaxed" magmom_total_mub_per_cell=0.000 total_energy_ev_per_atom=-4.3834 e_form_ev_per_fu=0.4 pbc="T T T"
Sm 4.671 6.108 1.948
Sm -2.941 3.983 7.216
Sm 7.612 1.905 2.320
Sm 1.730 1.905 2.320
Sm 2.941 3.983 7.216
Sm 4.671 0.298 2.799
Sm 1.828 5.132 3.793
Sm 2.843 0.756 5.742
Sm -1.828 5.132 3.793
Sm 0.000 -0.220 7.588
Sm 0.000 5.590 6.737
Sm 6.498 0.756 5.742
Tl 6.383 0.000 0.000
Tl 2.959 0.000 0.000
Tm 4.671 2.810 0.469
Tm 4.671 3.350 4.094
Tm 0.000 3.079 9.067
Tm 0.000 -0.856 4.172
Tm 0.000 2.538 5.442



(5)
4
Lattice="-2.917 -0.103 1.752 -0.373 -4.843 -0.904 3.091 3.669 5.360" Properties=species:S:1:pos:R:3 comment="CrRhSe2 PBE-GGA relaxed" magmom_total_mub_per_cell=3.118 raw_formation_energy_ev_per_atom=-0.10 total_energy_ev_per_atom=-6.0890 pbc="T T T"
Se 1.273 -1.837 2.011
Se 2.805 0.077 4.674
Cr -0.779 -0.345 1.990
Rh 0.580 -0.932 4.218



(6)
5
Lattice="3.847 0.000 0.000 0.000 3.847 0.000 0.000 0.000 3.847" Properties=species:S:1:pos:R:3 comment="ScGaH3 PBE-GGA relaxed" magmom_total_mub_per_cell=0.000 total_energy_ev_per_atom=-3.9946 pbc="T T T"
Sc 0.000 0.000 0.000
H 0.000 1.923 0.000
H 0.000 0.000 1.923
H 1.923 0.000 0.000
Ga 1.923 1.923 1.923



(7)
10
Lattice="-3.242 0.767 -6.116 -3.919 -5.169 -2.536 -6.930 0.664 -0.208" Properties=species:S:1:pos:R:3 comment="K2UCuS6 PBE-GGA relaxed" magmom_total_mub_per_cell=0.001 raw_formation_energy_ev_per_atom=-0.73 total_energy_ev_per_atom=-4.9598 pbc="T T T"
S -5.449 -3.554 -3.463
S -5.104 -0.523 -5.291
S -8.987 -3.214 -3.570
S -6.987 -0.575 -2.275
S -7.105 -3.162 -6.586
S -8.642 -0.184 -5.397
K -3.523 -0.934 -2.215
K -10.568 -2.803 -6.646
U -7.046 -1.869 -4.430
Cu 0.000 0.000 0.000



(8)
5
Lattice="4.037 0.000 0.000 0.000 3.899 0.000 0.000 0.000 4.037" Properties=species:S:1:pos:R:3 comment="Al2TcRuN PBE-GGA relaxed" magmom_total_mub_per_cell=0.000 raw_formation_energy_ev_per_atom=-0.14 total_energy_ev_per_atom=-7.2340 pbc="T T T"
Tc 0.000 1.949 0.000
Ru 2.019 1.949 2.019
Al 2.019 0.000 0.000
Al 0.000 0.000 2.019
N 0.000 0.000 0.000